No. 1
SrTlPt2: optimized geometry, GGA-PBE.

Summary:
Crystal system: tetragonal
ΔH_f (0 K) (eV/atom): -0.317
D(E_F) (states/eV per cell): 2.18
Total energy (eV/atom): -4.349
Size of the total moment (μB per atom): 0.000

Lattice parameters (Å, degrees): 4.6428 4.6428 4.0543 90.00 90.00 90.00
With the nearest neighbours (Å) after each atom.
Space group P4/mmm (No. 123)
Asymmetric unit:
Sr (0.0000, 0.0000, 0.0000) (multiplicity 1)  8 Pt 3.08, 4 Tl 3.28
Tl (0.5000, 0.5000, 0.0000) (multiplicity 1)  8 Pt 3.08, 4 Sr 3.28
Pt (0.0000, 0.5000, 0.5000) (multiplicity 2)  4 Sr 3.08, 4 Tl 3.08, 4 Pt 3.28


No. 2
Sr2TlPt: optimized geometry, GGA-PBE.

Summary:
Energy above the most stable polymorph in this dataset (meV per atom): 264
Crystal system: tetragonal
ΔH_f (0 K) (eV/atom): -0.305
D(E_F) (states/eV per cell): 2.52
Total energy (eV/atom): -3.248
Size of the total moment (μB per atom): 0.000

Lattice parameters (Å, degrees): 4.4062 4.4062 6.9178 90.00 90.00 90.00
With the nearest neighbours (Å) after each atom.
Space group P4mm (No. 99)
Asymmetric unit:
Sr (0.0000, 0.0000, 0.0000) (multiplicity 1)  4 Pt 3.15, 1 Tl 3.19
Sr (0.5000, 0.5000, 0.3697) (multiplicity 1)  1 Pt 3.00, 4 Tl 3.33
Tl (0.0000, 0.0000, 0.5391) (multiplicity 1)  5 Sr 3.19-3.33
Pt (0.5000, 0.5000, 0.9354) (multiplicity 1)  5 Sr 3.00-3.15


No. 3
Sr4TlPt: optimized geometry, GGA-PBE.

Summary:
Energy above the most stable polymorph in this dataset (meV per atom): 13
Crystal system: monoclinic
ΔH_f (0 K) (eV/atom): -0.453
D(E_F) (states/eV per cell): 17.72
Total energy (eV/atom): -2.975
Size of the total moment (μB per atom): 0.000

Lattice parameters (Å, degrees): 9.9296 16.3180 7.5491 90.00 126.05 90.00
With the nearest neighbours (Å) after each atom.
Space group C2/c (No. 15)
Asymmetric unit:
Sr (0.1377, 0.2063, 0.1292) (multiplicity 8)  1 Pt 3.00
Sr (0.2500, 0.0366, 0.7349) (multiplicity 8)  2 Pt 3.03-3.10
Tl (0.0000, 0.3693, 0.7500) (multiplicity 4)  8 Sr 3.38-3.65
Pt (0.0000, 0.0715, 0.2500) (multiplicity 4)  6 Sr 3.00-3.10


No. 4
SrTl2Pt2: optimized geometry, GGA-PBE.

Summary:
Crystal system: tetragonal
ΔH_f (0 K) (eV/atom): -0.193
D(E_F) (states/eV per cell): 4.07
Total energy (eV/atom): -3.892
Size of the total moment (μB per atom): 0.000

Lattice parameters (Å, degrees): 8.2821 8.2821 3.3573 90.00 90.00 90.00
With the nearest neighbours (Å) after each atom.
Space group P4/mbm (No. 127)
Asymmetric unit:
Sr (0.0000, 0.0000, 0.0000) (multiplicity 2)  4 Tl 3.26, 2 Sr 3.36, 8 Pt 3.49
Tl (0.1277, 0.3723, 0.0000) (multiplicity 4)  6 Pt 2.86-3.04, 1 Tl 2.99
Pt (0.1747, 0.6747, 0.5000) (multiplicity 4)  6 Tl 2.86-3.04


No. 5
SrTl2Pt: optimized geometry, GGA-PBE.

Summary:
Crystal system: tetragonal
ΔH_f (0 K) (eV/atom): -0.271
D(E_F) (states/eV per cell): 2.00
Total energy (eV/atom): -3.385
Size of the total moment (μB per atom): 0.000

Lattice parameters (Å, degrees): 3.7643 3.7643 7.7195 90.00 90.00 90.00
With the nearest neighbours (Å) after each atom.
Space group P4mm (No. 99)
Asymmetric unit:
Sr (0.0000, 0.0000, 0.0000) (multiplicity 1)  4 Pt 3.21, 1 Tl 3.21
Tl (0.0000, 0.0000, 0.5837) (multiplicity 1)  4 Pt 3.02, 1 Sr 3.21, 4 Tl 3.33
Tl (0.5000, 0.5000, 0.3253) (multiplicity 1)  4 Tl 3.33, 1 Pt 3.42, 4 Sr 3.66
Pt (0.5000, 0.5000, 0.7687) (multiplicity 1)  4 Tl 3.02, 4 Sr 3.21


No. 6
Sr2TlPt: optimized geometry, GGA-PBE.

Summary:
Energy above the most stable polymorph in this dataset (meV per atom): 241
Crystal system: tetragonal
ΔH_f (0 K) (eV/atom): -0.329
D(E_F) (states/eV per cell): 6.95
Total energy (eV/atom): -3.272
Size of the total moment (μB per atom): 0.000

Lattice parameters (Å, degrees): 4.6608 4.6608 10.6848 90.00 90.00 90.00
With the nearest neighbours (Å) after each atom.
Space group I-4m2 (No. 119)
Asymmetric unit:
Sr (0.0000, 0.0000, 0.0000) (multiplicity 2)  4 Pt 3.30, 4 Sr 3.54, 4 Tl 3.54
Sr (0.0000, 0.5000, 0.2500) (multiplicity 2)  4 Tl 3.30, 4 Sr 3.54, 4 Pt 3.54
Tl (0.0000, 0.5000, 0.7500) (multiplicity 2)  8 Sr 3.30-3.54, 4 Pt 3.54
Pt (0.0000, 0.0000, 0.5000) (multiplicity 2)  8 Sr 3.30-3.54, 4 Tl 3.54